1 | 4
Lattice="0.000 3.317 3.317 3.317 0.000 3.317 3.317 3.317 0.000" Properties=species:S:1:pos:R:3 comment="SnAs2H, optimized geometry, DFT PBE-GGA" dos_at_fermi_per_ev_fu=1.7 volume_a3_per_fu=73.0 pbc="T T T"
H 0.000 0.000 0.000
As 1.658 1.658 1.658
As 4.975 4.975 4.975
Sn 3.317 3.317 3.317

2 | 8
Lattice="4.072 0.252 -0.709 0.367 7.379 -0.784 -2.862 -3.179 7.324" Properties=species:S:1:pos:R:3 comment="SnAs2H, optimized geometry, DFT PBE-GGA" volume_a3_per_fu=97.8 pbc="T T T"
Sn 0.875 5.498 3.063
Sn 2.286 1.965 3.577
As -2.027 3.920 5.785
As 2.639 5.185 1.073
As 2.556 2.695 0.974
As 0.517 0.535 4.983
H 0.722 3.623 5.657
H 1.030 2.753 0.715

2 has the most favorable energy; the next structure is 599 meV/atom above.

1 | 3
Lattice="-4.371 -1.633 -2.652 0.509 -2.988 -4.430 -1.409 -5.179 0.080" Properties=species:S:1:pos:R:3 comment="BaLiZn, optimized geometry, DFT PBE-GGA" dos_at_fermi_per_ev_fu=2.4 volume_a3_per_fu=109.3 pbc="T T T"
Ba 0.000 0.000 0.000
Li -2.636 -4.900 -3.501
Zn -3.954 -7.349 -5.252

2 | 6
Lattice="-3.164 2.433 1.874 0.224 -2.501 3.625 6.817 6.000 3.719" Properties=species:S:1:pos:R:3 comment="BaLiZn, optimized geometry, DFT PBE-GGA" dos_at_fermi_per_ev_fu=3.1 volume_a3_per_fu=95.4 pbc="T T T"
Ba 5.744 3.706 4.885
Ba -0.397 2.260 1.584
Zn 2.296 0.672 3.004
Zn 3.051 5.294 3.465
Li 1.938 2.966 4.609
Li 3.408 3.000 1.859

2 has the most favorable energy; the next structure is 138 meV/atom above.

1 | 12
Lattice="2.421 0.000 0.000 0.000 2.400 0.000 0.000 0.000 14.086" Properties=species:S:1:pos:R:3 comment="B2C, optimized geometry, DFT PBE-GGA" dos_at_fermi_per_ev_fu=0.5 volume_a3_per_fu=20.5 pbc="T T T"
B 0.605 1.200 10.324
B 0.605 0.000 11.653
B 0.605 1.200 5.070
B 0.605 0.000 6.387
B 1.816 0.000 7.699
B 1.816 1.200 9.017
B 1.816 0.000 2.433
B 1.816 1.200 3.762
C 0.605 1.200 0.484
C 0.605 0.000 1.349
C 1.816 0.000 12.738
C 1.816 1.200 13.602

2 | 12
Lattice="0.906 1.920 1.618 -2.288 -1.253 0.566 7.795 -10.546 8.145" Properties=species:S:1:pos:R:3 comment="B2C, optimized geometry, DFT PBE-GGA" dos_at_fermi_per_ev_fu=0.2 volume_a3_per_fu=23.8 pbc="T T T"
B 6.447 -8.074 8.169
B 7.121 -9.635 7.441
B 4.350 -7.735 6.740
B 5.611 -6.944 7.296
B 2.192 -2.318 3.724
B 2.900 -3.923 3.030
B 2.526 -5.268 4.835
B 1.339 -1.164 2.832
C 3.689 -4.991 3.855
C -0.071 -1.754 2.121
C 0.120 -0.163 0.126
C -0.827 -0.731 1.331

1 has the most favorable energy; the next structure is 186 meV/atom above.

1 | 4
Lattice="5.771 0.007 0.000 2.386 5.255 0.000 -4.079 -2.631 3.122" Properties=species:S:1:pos:R:3 comment="KSb2Ru, optimized geometry, DFT PBE-GGA" dos_at_fermi_per_ev_fu=5.0 volume_a3_per_fu=94.6 pbc="T T T"
K 4.079 2.631 0.000
Ru 2.886 0.003 1.561
Sb 0.000 0.000 0.000
Sb 1.193 2.627 1.561

2 | 4
Lattice="-1.932 0.209 -4.228 2.430 -3.750 -1.296 -3.208 -2.542 1.340" Properties=species:S:1:pos:R:3 comment="KSb2Ru, optimized geometry, DFT PBE-GGA" dos_at_fermi_per_ev_fu=4.6 volume_a3_per_fu=93.3 pbc="T T T"
K -2.570 -1.167 -1.444
Ru -0.389 -3.146 0.022
Sb 0.000 0.000 0.000
Sb 0.249 -1.771 -2.762

2 has the most favorable energy; the next structure is 35 meV/atom above.

1 | 18
Lattice="3.179 0.000 0.000 0.000 6.508 0.000 0.000 0.000 11.109" Properties=species:S:1:pos:R:3 comment="NbReB, optimized geometry, DFT PBE-GGA" dos_at_fermi_per_ev_fu=1.5 volume_a3_per_fu=38.3 pbc="T T T"
Nb 0.000 1.447 10.607
Nb 0.000 5.061 0.502
Nb 0.000 1.447 6.057
Nb 0.000 5.061 5.052
Nb 0.000 0.968 2.777
Nb 0.000 5.541 8.332
Re 1.589 2.785 1.345
Re 1.589 3.724 9.764
Re 1.589 2.785 4.210
Re 1.589 3.724 6.899
Re 1.589 5.231 2.777
Re 1.589 1.277 8.332
B 1.589 0.366 0.991
B 1.589 6.142 10.117
B 1.589 0.366 4.563
B 1.589 6.142 6.546
B 0.000 3.578 2.777
B 0.000 2.931 8.332

2 | 6
Lattice="-1.568 2.363 -0.800 -3.716 -1.405 -2.293 -5.580 -0.498 4.037" Properties=species:S:1:pos:R:3 comment="NbReB, optimized geometry, DFT PBE-GGA" dos_at_fermi_per_ev_fu=1.6 volume_a3_per_fu=40.6 pbc="T T T"
Re -5.911 -0.442 -0.577
Re -4.954 0.903 1.521
B -8.580 -1.588 1.269
B -2.284 2.049 -0.326
Nb -7.799 0.810 1.395
Nb -3.065 -0.349 -0.451

1 has the most favorable energy; the next structure is 458 meV/atom above.

1 | 4
Lattice="4.894 -0.231 -0.390 2.106 4.424 0.390 -3.267 -2.484 2.703" Properties=species:S:1:pos:R:3 comment="MnCoAg2, optimized geometry, DFT PBE-GGA" dos_at_fermi_per_ev_fu=4.6 volume_a3_per_fu=61.3 pbc="T T T"
Ag 6.992 4.188 0.000
Ag 3.507 2.101 0.000
Co 2.563 -0.309 1.157
Mn 1.169 2.018 1.546

2 | 4
Lattice="-3.827 -1.982 1.013 0.004 -4.104 1.661 -1.090 -0.674 4.238" Properties=species:S:1:pos:R:3 comment="MnCoAg2, optimized geometry, DFT PBE-GGA" dos_at_fermi_per_ev_fu=5.2 volume_a3_per_fu=61.4 pbc="T T T"
Ag 0.000 0.000 0.000
Ag -1.228 -1.690 1.728
Co -2.457 -3.380 3.456
Mn -3.685 -5.070 5.183

1 has the most favorable energy; the next structure is 28 meV/atom above.